VSb2IBr PBE optimized geometry; raw formation energy = 0.1585 eV per atom; relative energy among the computed polymorphs = 0 meV per atom
1.0
5.1933 0.0000 0.0000
0.0000 5.1933 0.0000
0.0000 0.0000 5.2708
V Sb I Br
1 2 1 1
Direct
0.0000 0.0000 0.0000
0.0000 0.5000 0.0000
0.5000 0.0000 0.0000
0.0000 0.0000 0.5000
0.5000 0.5000 0.5000


# PmNi2H

A relaxed PmNi2H crystal (PBE, Alexandria via LeMat-Bulk).

Structure (POSCAR):
```
PmNi2H
1.0
1.5108 0.8723 6.9996
-1.5108 0.8723 6.9996
0.0000 -1.7445 6.9996
Pm Ni H
1 2 1
Direct
0.0000 0.0000 0.0000
0.1253 0.1253 0.1253
0.8747 0.8747 0.8747
0.5000 0.5000 0.5000
```


ZrBW PBE optimized geometry; formation energy = -0.209 eV per atom; relative energy among the computed polymorphs = 213 meV per atom
1.0
4.3699 -1.6045 0.0000
4.3699 1.6045 0.0000
-4.0099 0.0000 6.1092
Zr B W
2 2 2
Direct
0.1775 0.1775 0.0993
0.8225 0.8225 0.9007
0.1166 0.1166 0.6117
0.8834 0.8834 0.3883
0.4122 0.4122 0.6277
0.5878 0.5878 0.3723


# PuBeAsH

A relaxed PuBeAsH crystal (PBE, Alexandria via LeMat-Bulk).

Structure (POSCAR):
```
PuBeAsH
1.0
3.9433 0.0000 0.0000
-1.9717 3.4150 0.0000
0.0000 0.0000 4.1302
Pu Be As H
1 1 1 1
Direct
0.0000 0.0000 0.0000
0.3333 0.6667 0.4581
0.6667 0.3333 0.5293
0.3333 0.6667 0.0878
```


PuTiAsO2 PBE optimized geometry; raw formation energy = -2.2608 eV per atom
1.0
1.8648 -5.6649 0.0000
1.8648 5.6649 0.0000
0.0000 0.0000 7.0151
Pu Ti As O
2 2 2 4
Direct
0.2258 0.7742 0.7500
0.7742 0.2258 0.2500
0.5000 0.5000 0.0000
0.5000 0.5000 0.5000
0.0470 0.9530 0.2500
0.9530 0.0470 0.7500
0.3325 0.6675 0.0577
0.3325 0.6675 0.4423
0.6675 0.3325 0.5577
0.6675 0.3325 0.9423


KTe2IrI PBE optimized geometry; raw formation energy = 1.7224 eV per atom; relative energy among the computed polymorphs = 1834 meV per atom
1.0
6.0581 0.0000 0.0000
0.0000 6.0581 0.0000
0.0000 0.0000 6.0480
K Te Ir I
1 2 1 1
Direct
0.0000 0.0000 0.0000
0.0000 0.5000 0.0000
0.5000 0.0000 0.0000
0.5000 0.5000 0.5000
0.0000 0.0000 0.5000


LaTlMo2 PBE optimized geometry; formation energy = 0.953 eV per atom; relative energy among the computed polymorphs = 756 meV per atom
1.0
1.5277 0.8820 10.5073
-1.5277 0.8820 10.5073
0.0000 -1.7641 10.5073
La Tl Mo
1 1 2
Direct
0.0000 0.0000 0.0000
0.5000 0.5000 0.5000
0.2431 0.2431 0.2431
0.7569 0.7569 0.7569


TlTc2AsPb PBE optimized geometry; formation energy = 1.006 eV per atom
1.0
4.7199 0.0000 0.0000
0.0000 4.7199 0.0000
0.0000 0.0000 5.6419
Tl Tc As Pb
1 2 1 1
Direct
0.0000 0.0000 0.0000
0.0000 0.5000 0.5000
0.5000 0.0000 0.5000
0.5000 0.5000 0.5000
0.5000 0.5000 0.0000


no.,final energy (eV/atom)
1,-3.96
2,-4.46
3,-9.60
4,-7.13
5,-9.62
6,-1.84
7,-6.29
8,-5.28